K2MgAlSe4 | PBE-GGA | relaxed

It has space group I-42m (No. 121), with a = 7.987 Å, b = 7.987 Å, c = 6.946 Å, α = 90.00°, β = 90.00° and γ = 90.00°. The asymmetric unit holds K at (0.000, 0.500, 0.000), Mg at (0.000, 0.000, 0.000), Al at (0.000, 0.000, 0.500) and Se at (0.162, 0.162, 0.731).

For the density of states at the Fermi level, the calculation gives 8.57 states/eV/f.u. The value obtained for the energy relative to the elements, uncorrected is -1005 meV/atom. For the total energy, the calculation gives -3.69 eV per atom.